Entry 1:
PBE PuGaPd, optimized geometry; space group = F-43m (216); raw total energy = -23.506 eV per formula unit; total moment = 5.7 μB per formula unit
1.0
0.0000 3.2407 3.2407
3.2407 0.0000 3.2407
3.2407 3.2407 0.0000
Pu Ga Pd
1 1 1
direct
0.0000 0.0000 0.0000
0.5000 0.5000 0.5000
0.7500 0.7500 0.7500

Entry 2:
PBE IrAuSe3, optimized geometry; space group = P1 (1); raw total energy = -21.191 eV per formula unit; total moment = 0.0 μB per formula unit
1.0
3.5006 0.0000 0.0000
-0.0093 6.6063 0.0000
-0.0148 -3.2963 5.7320
Ir Au Se
1 1 3
direct
0.0000 0.0000 0.0000
0.5013 0.3336 0.6669
0.9997 0.3377 0.9803
0.9973 0.0205 0.3574
0.9981 0.6433 0.6631

Entry 3:
PBE NaScZnS3, optimized geometry; space group = P2_1/c (14); raw total energy = -29.069 eV per formula unit; energy above the lowest structure with this stoichiometry = 50 meV/atom; total moment = 0.0 μB per formula unit
1.0
3.7579 0.0000 0.0000
0.0000 11.6471 0.0000
-3.7531 0.0000 11.1815
Na Sc Zn S
4 4 4 12
direct
0.2409 0.1294 0.4929
0.2409 0.3706 0.9929
0.7591 0.6294 0.0071
0.7591 0.8706 0.5071
0.4129 0.5486 0.6616
0.4129 0.9514 0.1616
0.5871 0.0486 0.8384
0.5871 0.4514 0.3384
0.0362 0.7356 0.2845
0.0362 0.7644 0.7845
0.9638 0.2356 0.2155
0.9638 0.2644 0.7155
0.0818 0.5665 0.8302
0.0818 0.9335 0.3302
0.1699 0.5857 0.4209
0.1699 0.9143 0.9209
0.4096 0.7307 0.1577
0.4096 0.7693 0.6577
0.5904 0.2307 0.3423
0.5904 0.2693 0.8423
0.8301 0.0857 0.0791
0.8301 0.4143 0.5791
0.9182 0.0665 0.6698
0.9182 0.4335 0.1698

Entry 4:
PBE HoEr2Mg3TlGa2, optimized geometry; space group = Amm2 (38); raw total energy = -30.608 eV per formula unit; total moment = 0.0 μB per formula unit
1.0
4.5278 0.0000 0.0000
0.0000 6.3207 3.6442
0.0000 -6.3207 3.6442
Ho Er Mg Tl Ga
1 2 3 1 2
direct
0.0000 0.0000 0.0000
0.0000 0.1246 0.5623
0.0000 0.5623 0.1246
0.5000 0.3117 0.3117
0.5000 0.5621 0.8127
0.5000 0.8127 0.5621
0.0000 0.5614 0.5614
0.5000 0.2293 0.8953
0.5000 0.8953 0.2293

Entry 5:
PBE LaIrNO, optimized geometry; space group = Pmc2_1 (26); raw total energy = -32.013 eV per formula unit; energy above the lowest structure with this stoichiometry = 0 meV/atom; total moment = 0.0 μB per formula unit
1.0
3.7565 0.0000 0.0000
0.0000 5.7835 0.0000
0.0000 0.0000 5.3324
La Ir N O
2 2 2 2
direct
0.0000 0.1975 0.0000
0.0000 0.8025 0.5000
0.5000 0.3553 0.5002
0.5000 0.6447 0.0002
0.0000 0.3458 0.4883
0.0000 0.6542 0.9883
0.5000 0.0448 0.7383
0.5000 0.9552 0.2383

Entry 6:
PBE TbAl2, optimized geometry; space group = Fd-3m (227); raw total energy = -13.688 eV per formula unit; total moment = 0.0 μB per formula unit
1.0
0.0000 3.9444 3.9444
3.9444 0.0000 3.9444
3.9444 3.9444 0.0000
Tb Al
2 4
direct
0.1250 0.1250 0.1250
0.8750 0.8750 0.8750
0.0000 0.5000 0.5000
0.5000 0.0000 0.5000
0.5000 0.5000 0.0000
0.5000 0.5000 0.5000

Entry 7:
PBE ZrSn2C, optimized geometry; space group = P6_3/mmc (194); raw total energy = -23.654 eV per formula unit; total moment = 0.0 μB per formula unit
1.0
3.3265 0.0000 0.0000
-1.6633 2.8808 0.0000
0.0000 0.0000 15.6312
Zr Sn C
2 4 2
direct
0.3333 0.6667 0.2500
0.6667 0.3333 0.7500
0.3333 0.6667 0.5904
0.3333 0.6667 0.9096
0.6667 0.3333 0.0904
0.6667 0.3333 0.4096
0.0000 0.0000 0.0000
0.0000 0.0000 0.5000

Entry 8:
PBE Na2Os, optimized geometry; space group = Fd-3m (227); raw total energy = -9.619 eV per formula unit; energy above the lowest structure with this stoichiometry = 0 meV/atom; total moment = 1.0 μB per formula unit
1.0
0.0000 3.6710 3.6710
3.6710 0.0000 3.6710
3.6710 3.6710 0.0000
Na Os
4 2
direct
0.0000 0.0000 0.0000
0.0000 0.0000 0.5000
0.0000 0.5000 0.0000
0.5000 0.0000 0.0000
0.3750 0.3750 0.3750
0.6250 0.6250 0.6250

Entry 9:
PBE KAgPtS3, optimized geometry; space group = Cmcm (63); raw total energy = -24.365 eV per formula unit; energy above the lowest structure with this stoichiometry = 127 meV/atom; total moment = 0.1 μB per formula unit
1.0
1.8647 -7.2863 0.0000
1.8647 7.2863 0.0000
0.0000 0.0000 10.1513
K Ag Pt S
2 2 2 6
direct
0.2265 0.7735 0.7500
0.7735 0.2265 0.2500
0.0807 0.9193 0.2500
0.9193 0.0807 0.7500
0.5000 0.5000 0.0000
0.5000 0.5000 0.5000
0.1067 0.8933 0.0156
0.1067 0.8933 0.4844
0.4529 0.5471 0.2500
0.5471 0.4529 0.7500
0.8933 0.1067 0.5156
0.8933 0.1067 0.9844

Entry 10:
PBE PrW2, optimized geometry; space group = Fd-3m (227); E_form = 0.370 eV per atom; raw total energy = -29.586 eV per formula unit; total moment = 0.0 μB per formula unit
1.0
0.0000 3.9825 3.9825
3.9825 0.0000 3.9825
3.9825 3.9825 0.0000
Pr W
2 4
direct
0.1250 0.1250 0.1250
0.8750 0.8750 0.8750
0.0000 0.5000 0.5000
0.5000 0.0000 0.5000
0.5000 0.5000 0.0000
0.5000 0.5000 0.5000

Entry 11:
PBE UFe4Ge2, optimized geometry; space group = P4_2/mnm (136); raw total energy = -54.987 eV per formula unit; total moment = 5.5 μB per formula unit
1.0
7.0684 0.0000 0.0000
0.0000 7.0684 0.0000
0.0000 0.0000 4.0293
U Fe Ge
2 8 4
direct
0.0000 0.0000 0.0000
0.5000 0.5000 0.5000
0.1052 0.3648 0.5000
0.1352 0.6052 0.0000
0.3648 0.1052 0.5000
0.3948 0.8648 0.0000
0.6052 0.1352 0.0000
0.6352 0.8948 0.5000
0.8648 0.3948 0.0000
0.8948 0.6352 0.5000
0.2108 0.7892 0.5000
0.2892 0.2892 0.0000
0.7108 0.7108 0.0000
0.7892 0.2108 0.5000

Entry 12:
PBE KRbPbAu, optimized geometry; space group = Cmm2 (35); raw total energy = -9.451 eV per formula unit; energy above the lowest structure with this stoichiometry = 81 meV/atom
1.0
2.4958 -9.6562 0.0000
2.4958 9.6562 0.0000
0.0000 0.0000 9.3510
K Rb Pb Au
2 2 2 2
direct
0.1105 0.8895 0.0000
0.8895 0.1105 0.0000
0.3605 0.6395 0.5733
0.6395 0.3605 0.5733
0.2998 0.7002 0.2023
0.7002 0.2998 0.2023
0.2827 0.7173 0.8973
0.7173 0.2827 0.8973

Entry 13:
PBE CsReAs, optimized geometry; space group = F-43m (216); raw total energy = -13.198 eV per formula unit; energy above the lowest structure with this stoichiometry = 0 meV/atom; total moment = 0.7 μB per formula unit
1.0
0.0000 3.3149 3.3149
3.3149 0.0000 3.3149
3.3149 3.3149 0.0000
Cs Re As
1 1 1
direct
0.0000 0.0000 0.0000
0.7500 0.7500 0.7500
0.5000 0.5000 0.5000

Entry 14:
PBE GaIr124, optimized geometry; space group = Fm-3m (225); raw total energy = -1102.250 eV per formula unit; total moment = 0.0 μB per formula unit
1.0
0.0000 9.6827 9.6827
9.6827 0.0000 9.6827
9.6827 9.6827 0.0000
Ga Ir
1 124
direct
0.0000 0.0000 0.0000
0.0000 0.0000 0.2006
0.0000 0.0000 0.4011
0.0000 0.0000 0.5989
0.0000 0.0000 0.7994
0.0003 0.1999 0.1999
0.0000 0.2003 0.3999
0.0003 0.1999 0.6000
0.0000 0.2006 0.0000
0.0000 0.2006 0.7994
0.0000 0.3999 0.2003
0.0000 0.3999 0.3999
0.9997 0.4000 0.8001
0.0000 0.4011 0.0000
0.0000 0.4011 0.5989
0.0000 0.5989 0.0000
0.0000 0.5989 0.4011
0.0003 0.6000 0.1999
0.0000 0.6001 0.6001
0.0000 0.6001 0.7997
0.0000 0.7994 0.0000
0.0000 0.7994 0.2006
0.9997 0.8001 0.4000
0.0000 0.7997 0.6001
0.9997 0.8001 0.8001
0.1999 0.0003 0.1999
0.2003 0.0000 0.3999
0.1999 0.0003 0.6000
0.1999 0.1999 0.0003
0.2000 0.2000 0.2000
0.2000 0.2000 0.4001
0.1999 0.1999 0.6000
0.1996 0.1996 0.8004
0.2003 0.3999 0.0000
0.2000 0.4001 0.2000
0.2003 0.3999 0.3999
0.2000 0.3998 0.6002
0.2000 0.3998 0.8000
0.1999 0.6000 0.0003
0.1999 0.6000 0.1999
0.2000 0.6002 0.3998
0.1999 0.6000 0.6000
0.2000 0.6002 0.8000
0.1996 0.8004 0.1996
0.2000 0.8000 0.3998
0.2000 0.8000 0.6002
0.1996 0.8004 0.8004
0.2006 0.0000 0.0000
0.2006 0.0000 0.7994
0.2006 0.7994 0.0000
0.3999 0.0000 0.2003
0.3999 0.0000 0.3999
0.4000 0.9997 0.8001
0.3999 0.2003 0.0000
0.4001 0.2000 0.2000
0.3999 0.2003 0.3999
0.3998 0.2000 0.6002
0.3998 0.2000 0.8000
0.3999 0.3999 0.0000
0.3999 0.3999 0.2003
0.4000 0.4000 0.4000
0.4001 0.4001 0.5999
0.4000 0.4000 0.8001
0.3998 0.6002 0.2000
0.4001 0.5999 0.4001
0.4001 0.5999 0.5999
0.3998 0.6002 0.8000
0.4000 0.8001 0.9997
0.3998 0.8000 0.2000
0.4000 0.8001 0.4000
0.3998 0.8000 0.6002
0.4000 0.8001 0.8001
0.4011 0.0000 0.0000
0.4011 0.0000 0.5989
0.4011 0.5989 0.0000
0.5989 0.0000 0.0000
0.5989 0.0000 0.4011
0.5989 0.4011 0.0000
0.6000 0.0003 0.1999
0.6001 0.0000 0.6001
0.6001 0.0000 0.7997
0.6000 0.1999 0.0003
0.6000 0.1999 0.1999
0.6002 0.2000 0.3998
0.6000 0.1999 0.6000
0.6002 0.2000 0.8000
0.6002 0.3998 0.2000
0.5999 0.4001 0.4001
0.5999 0.4001 0.5999
0.6002 0.3998 0.8000
0.6001 0.6001 0.0000
0.6000 0.6000 0.1999
0.5999 0.5999 0.4001
0.6000 0.6000 0.6000
0.6001 0.6001 0.7997
0.6001 0.7997 0.0000
0.6002 0.8000 0.2000
0.6002 0.8000 0.3998
0.6001 0.7997 0.6001
0.5999 0.8000 0.8000
0.7994 0.0000 0.0000
0.7994 0.0000 0.2006
0.7994 0.2006 0.0000
0.8001 0.9997 0.4000
0.7997 0.0000 0.6001
0.8001 0.9997 0.8001
0.8004 0.1996 0.1996
0.8000 0.2000 0.3998
0.8000 0.2000 0.6002
0.8004 0.1996 0.8004
0.8001 0.4000 0.9997
0.8000 0.3998 0.2000
0.8001 0.4000 0.4000
0.8000 0.3998 0.6002
0.8001 0.4000 0.8001
0.7997 0.6001 0.0000
0.8000 0.6002 0.2000
0.8000 0.6002 0.3998
0.7997 0.6001 0.6001
0.8000 0.5999 0.8000
0.8001 0.8001 0.9997
0.8004 0.8004 0.1996
0.8001 0.8001 0.4000
0.8000 0.8000 0.5999
0.8000 0.8000 0.8000

Entry 15:
PBE HoTeMo, optimized geometry; space group = F-43m (216); raw total energy = -17.893 eV per formula unit; energy above the lowest structure with this stoichiometry = 0 meV/atom; total moment = 1.2 μB per formula unit
1.0
0.0000 3.3107 3.3107
3.3107 0.0000 3.3107
3.3107 3.3107 0.0000
Ho Te Mo
1 1 1
direct
0.0000 0.0000 0.0000
0.5000 0.5000 0.5000
0.2500 0.2500 0.2500

Entry 16:
PBE ZnTe, optimized geometry; space group = P4_2/m (84); raw total energy = -4.446 eV per formula unit
1.0
7.4619 0.0000 0.0000
0.0000 7.4619 0.0000
0.0000 0.0000 8.0534
Zn Te
8 8
direct
0.0000 0.0000 0.2500
0.0000 0.0000 0.7500
0.0000 0.5000 0.0000
0.1749 0.5405 0.5000
0.4595 0.1749 0.0000
0.5000 0.0000 0.5000
0.5405 0.8251 0.0000
0.8251 0.4595 0.5000
0.1976 0.3085 0.2258
0.1976 0.3085 0.7742
0.3085 0.8024 0.2742
0.3085 0.8024 0.7258
0.6915 0.1976 0.2742
0.6915 0.1976 0.7258
0.8024 0.6915 0.2258
0.8024 0.6915 0.7742

Entry 17:
PBE HgGeMo2, optimized geometry; space group = F-43m (216); raw total energy = -23.899 eV per formula unit; total moment = 0.0 μB per formula unit
1.0
0.0000 3.2549 3.2549
3.2549 0.0000 3.2549
3.2549 3.2549 0.0000
Hg Ge Mo
1 1 2
direct
0.0000 0.0000 0.0000
0.7500 0.7500 0.7500
0.2500 0.2500 0.2500
0.5000 0.5000 0.5000

Entry 18:
PBE Cs2AgAuBr4Cl2, optimized geometry; space group = I4/mmm (139); raw total energy = -27.927 eV per formula unit; energy above the lowest structure with this stoichiometry = 0 meV/atom
1.0
-3.8651 3.8651 5.7333
3.8651 -3.8651 5.7333
3.8651 3.8651 -5.7333
Cs Ag Au Br Cl
2 1 1 4 2
direct
0.2500 0.7500 0.5000
0.7500 0.2500 0.5000
0.0000 0.0000 0.0000
0.5000 0.5000 0.0000
0.2704 0.2704 0.5408
0.2704 0.7296 0.0000
0.7296 0.2704 0.0000
0.7296 0.7296 0.4592
0.2094 0.2094 0.0000
0.7906 0.7906 0.0000